#w
# HfCrSbI2 | the Alexandria database | PBE | optimized geometry
# - Spin magnetization: 4.7 μB/f.u.
data_HfCrSbI2
_chemical_formula_sum 'Hf1 Cr1 Sb1 I2'
_cell_length_a 5.247
_cell_length_b 5.247
_cell_length_c 5.453
_cell_angle_alpha 90.00
_cell_angle_beta 90.00
_cell_angle_gamma 90.00
_symmetry_space_group_name_H-M 'P 4/m m m'
_symmetry_Int_Tables_number 123
_symmetry_space_group_name_Hall '-P 4 2'
loop_
_atom_site_label
_atom_site_fract_x
_atom_site_fract_y
_atom_site_fract_z
Hf1 0.000 0.000 0.000
Cr1 0.500 0.500 0.500
Sb1 0.500 0.500 0.000
I1 0.000 0.500 0.500

#x
# HfCrSbI2 | the Alexandria database | PBE | optimized geometry
# - Spin magnetization: 2.5 μB/f.u.
data_HfCrSbI2
_chemical_formula_sum 'Hf1 Cr1 Sb1 I2'
_cell_length_a 5.147
_cell_length_b 5.147
_cell_length_c 5.338
_cell_angle_alpha 90.00
_cell_angle_beta 90.00
_cell_angle_gamma 90.00
_symmetry_space_group_name_H-M 'P 4/m m m'
_symmetry_Int_Tables_number 123
_symmetry_space_group_name_Hall '-P 4 2'
loop_
_atom_site_label
_atom_site_fract_x
_atom_site_fract_y
_atom_site_fract_z
Hf1 0.000 0.000 0.000
Cr1 0.000 0.000 0.500
Sb1 0.500 0.500 0.000
I1 0.000 0.500 0.500

#y
# HfCrSbI2 | the Alexandria database | PBE | optimized geometry
# - Spin magnetization: 4.9 μB/f.u.
data_HfCrSbI2
_chemical_formula_sum 'Hf1 Cr1 Sb1 I2'
_cell_length_a 5.607
_cell_length_b 5.607
_cell_length_c 5.716
_cell_angle_alpha 90.00
_cell_angle_beta 90.00
_cell_angle_gamma 90.00
_symmetry_space_group_name_H-M 'P 4/m m m'
_symmetry_Int_Tables_number 123
_symmetry_space_group_name_Hall '-P 4 2'
loop_
_atom_site_label
_atom_site_fract_x
_atom_site_fract_y
_atom_site_fract_z
Hf1 0.000 0.000 0.000
Cr1 0.500 0.500 0.500
Sb1 0.000 0.000 0.500
I1 0.000 0.500 0.000

Stability summary: most stable #y, least stable #x.

#w
# HfCrIn3 | the Alexandria database | PBE | optimized geometry
# - Spin magnetization: 0.2 μB/f.u.
data_HfCrIn3
_chemical_formula_sum 'Hf1 Cr1 In3'
_cell_length_a 5.477
_cell_length_b 5.477
_cell_length_c 5.477
_cell_angle_alpha 90.00
_cell_angle_beta 90.00
_cell_angle_gamma 90.00
_symmetry_space_group_name_H-M 'P m -3 m'
_symmetry_Int_Tables_number 221
_symmetry_space_group_name_Hall '-P 4 2 3'
loop_
_atom_site_label
_atom_site_fract_x
_atom_site_fract_y
_atom_site_fract_z
Hf1 0.000 0.000 0.000
Cr1 0.500 0.500 0.500
In1 0.000 0.000 0.500

#x
# HfCrIn3 | the Alexandria database | PBE | optimized geometry
# - Spin magnetization: 2.4 μB/f.u.
data_HfCrIn3
_chemical_formula_sum 'Hf1 Cr1 In3'
_cell_length_a 4.995
_cell_length_b 4.995
_cell_length_c 4.995
_cell_angle_alpha 90.00
_cell_angle_beta 90.00
_cell_angle_gamma 90.00
_symmetry_space_group_name_H-M 'P m -3 m'
_symmetry_Int_Tables_number 221
_symmetry_space_group_name_Hall '-P 4 2 3'
loop_
_atom_site_label
_atom_site_fract_x
_atom_site_fract_y
_atom_site_fract_z
Hf1 0.000 0.000 0.000
Cr1 0.500 0.500 0.500
In1 0.000 0.500 0.500

Stability summary: most stable #x, least stable #w.

#w
# HfCrIr3 | the Alexandria database | PBE | optimized geometry
# - Spin magnetization: 0.1 μB/f.u.
data_HfCrIr3
_chemical_formula_sum 'Hf1 Cr1 Ir3'
_cell_length_a 4.772
_cell_length_b 4.772
_cell_length_c 4.772
_cell_angle_alpha 90.00
_cell_angle_beta 90.00
_cell_angle_gamma 90.00
_symmetry_space_group_name_H-M 'P m -3 m'
_symmetry_Int_Tables_number 221
_symmetry_space_group_name_Hall '-P 4 2 3'
loop_
_atom_site_label
_atom_site_fract_x
_atom_site_fract_y
_atom_site_fract_z
Hf1 0.000 0.000 0.000
Cr1 0.500 0.500 0.500
Ir1 0.000 0.000 0.500

#x
# HfCrIr3 | the Alexandria database | PBE | optimized geometry
# - Spin magnetization: 0.0 μB/f.u.
data_HfCrIr3
_chemical_formula_sum 'Hf1 Cr1 Ir3'
_cell_length_a 4.485
_cell_length_b 4.485
_cell_length_c 4.485
_cell_angle_alpha 90.00
_cell_angle_beta 90.00
_cell_angle_gamma 90.00
_symmetry_space_group_name_H-M 'P m -3 m'
_symmetry_Int_Tables_number 221
_symmetry_space_group_name_Hall '-P 4 2 3'
loop_
_atom_site_label
_atom_site_fract_x
_atom_site_fract_y
_atom_site_fract_z
Hf1 0.000 0.000 0.000
Cr1 0.500 0.500 0.500
Ir1 0.000 0.500 0.500

Stability summary: most stable #x, least stable #w.

#w
# HfCr2Ir2 | the Alexandria database | PBE | optimized geometry
# - Spin magnetization: 0.0 μB/f.u.
data_HfCr2Ir2
_chemical_formula_sum 'Hf2 Cr4 Ir4'
_cell_length_a 7.369
_cell_length_b 7.369
_cell_length_c 2.748
_cell_angle_alpha 90.00
_cell_angle_beta 90.00
_cell_angle_gamma 90.00
_symmetry_space_group_name_H-M 'P 4/m b m'
_symmetry_Int_Tables_number 127
_symmetry_space_group_name_Hall '-P 4 2ab'
loop_
_atom_site_label
_atom_site_fract_x
_atom_site_fract_y
_atom_site_fract_z
Hf1 0.000 0.000 0.000
Cr1 0.168 0.332 0.500
Ir1 0.130 0.630 0.000

#x
# HfCr2Ir2 | the Alexandria database | PBE | optimized geometry
# - Spin magnetization: 0.0 μB/f.u.
data_HfCr2Ir2
_chemical_formula_sum 'Hf2 Cr4 Ir4'
_cell_length_a 7.350
_cell_length_b 7.350
_cell_length_c 2.740
_cell_angle_alpha 90.00
_cell_angle_beta 90.00
_cell_angle_gamma 90.00
_symmetry_space_group_name_H-M 'P 4/m b m'
_symmetry_Int_Tables_number 127
_symmetry_space_group_name_Hall '-P 4 2ab'
loop_
_atom_site_label
_atom_site_fract_x
_atom_site_fract_y
_atom_site_fract_z
Hf1 0.000 0.000 0.000
Cr1 0.113 0.387 0.000
Ir1 0.177 0.677 0.500

Stability summary: most stable #x, least stable #w.